(1)
# AcPmB PBE relaxed
data_AcPmB
_symmetry_space_group_name_H-M 'P 1 21/m 1'
_symmetry_Int_Tables_number 11
_symmetry_space_group_name_Hall '-P 2yb'
_cell_length_a 3.782
_cell_length_b 5.530
_cell_length_c 8.386
_cell_angle_alpha 90.00
_cell_angle_beta 95.99
_cell_angle_gamma 90.00
loop_
_atom_site_label
_atom_site_type_symbol
_atom_site_fract_x
_atom_site_fract_y
_atom_site_fract_z
_atom_site_occupancy
Ac1 Ac 0.162 0.250 0.380 1
Pm1 Pm 0.224 0.250 0.877 1
B1 B 0.362 0.750 0.340 1
# Total moment, Bohr magnetons per cell: 0.00
# D(E_F), states/eV per atom: 1.1690
# Uncorrected energy, eV per atom: -4.94

---

(2)
# AcPmB12 PBE relaxed
data_AcPmB12
_symmetry_space_group_name_H-M 'P 4/m m m'
_symmetry_Int_Tables_number 123
_symmetry_space_group_name_Hall '-P 4 2'
_cell_length_a 4.166
_cell_length_b 4.166
_cell_length_c 8.326
_cell_angle_alpha 90.00
_cell_angle_beta 90.00
_cell_angle_gamma 90.00
loop_
_atom_site_label
_atom_site_type_symbol
_atom_site_fract_x
_atom_site_fract_y
_atom_site_fract_z
_atom_site_occupancy
Ac1 Ac 0.000 0.000 0.000 1
Pm1 Pm 0.000 0.000 0.500 1
B1 B 0.200 0.500 0.253 1
B2 B 0.500 0.500 0.101 1
B3 B 0.500 0.500 0.402 1
# Total moment, Bohr magnetons per cell: 0.00
# D(E_F), states/eV per atom: 0.0918
# Uncorrected energy, eV per atom: -6.86

---

(3)
# Ac2PmB3Pt12 PBE relaxed
data_Ac2PmB3Pt12
_symmetry_space_group_name_H-M 'R -3 m'
_symmetry_Int_Tables_number 166
_symmetry_space_group_name_Hall '-R 3 2"'
_cell_length_a 8.0458
_cell_length_b 8.0458
_cell_length_c 18.5146
_cell_angle_alpha 90.00
_cell_angle_beta 90.00
_cell_angle_gamma 120.00
loop_
_atom_site_label
_atom_site_type_symbol
_atom_site_fract_x
_atom_site_fract_y
_atom_site_fract_z
_atom_site_occupancy
Ac1 Ac 0.0000 0.0000 0.0992 1
Pm1 Pm 0.0000 0.0000 0.5000 1
B1 B 0.0000 0.5000 0.0000 1
Pt1 Pt 0.0340 0.5170 0.8831 1
Pt2 Pt 0.0642 0.5321 0.3483 1
# Total moment, Bohr magnetons per cell: 0.00
# D(E_F), states/eV per atom: 0.4418
# Uncorrected energy, eV per atom: -6.31